1.
# Pm2ThTl

An optimized crystal structure of Pm2ThTl (GGA-PBE, Alexandria via LeMat-Bulk).

- calculated density (Mg/m³) = 9.9
- formation enthalpy at 0 K (eV per atom) = -0.14
- uncorrected energy (eV/cell) = -19.8

Lattice parameters (Å, degrees): 5.0035 5.0035 4.8527 90.00 90.00 90.00
Closest atoms and distances in Å follow each position.
Fractional positions:
Pm 0.0000 0.5000 0.0000  4 Tl 3.49, 4 Th 3.49, 4 Pm 3.54
Pm 0.5000 0.0000 0.0000  4 Tl 3.49, 4 Th 3.49, 4 Pm 3.54
Th 0.0000 0.0000 0.5000  8 Pm 3.49, 4 Tl 3.54
Tl 0.5000 0.5000 0.5000  8 Pm 3.49, 4 Th 3.54

---

2.
# PmTh4Tl5

An optimized crystal structure of PmTh4Tl5 (GGA-PBE, Alexandria via LeMat-Bulk).

- calculated density (Mg/m³) = 11.9
- formation enthalpy at 0 K (eV per atom) = -0.19
- uncorrected energy (eV/cell) = -48.2

Lattice parameters (Å, degrees): 3.5587 3.5587 23.0054 90.00 90.00 90.00
Closest atoms and distances in Å follow each position.
Fractional positions:
Pm 0.0000 0.0000 0.0000  8 Tl 3.37, 4 Pm 3.56
Th 0.0000 0.0000 0.1984  8 Tl 3.42, 4 Th 3.56
Th 0.0000 0.0000 0.3993  8 Tl 3.42, 4 Th 3.56
Th 0.0000 0.0000 0.6007  8 Tl 3.42, 4 Th 3.56
Th 0.0000 0.0000 0.8016  8 Tl 3.42, 4 Th 3.56
Tl 0.5000 0.5000 0.0976  4 Pm 3.37, 4 Th 3.42, 4 Tl 3.56
Tl 0.5000 0.5000 0.2988  8 Th 3.42, 4 Tl 3.56
Tl 0.5000 0.5000 0.5000  8 Th 3.42, 4 Tl 3.56
Tl 0.5000 0.5000 0.7012  8 Th 3.42, 4 Tl 3.56
Tl 0.5000 0.5000 0.9024  4 Pm 3.37, 4 Th 3.42, 4 Tl 3.56

---

3.
# Pm7ThTl4

An optimized crystal structure of Pm7ThTl4 (GGA-PBE, Alexandria via LeMat-Bulk).

- calculated density (Mg/m³) = 8.9
- formation enthalpy at 0 K (eV per atom) = -0.04
- uncorrected energy (eV/cell) = -50.6

Lattice parameters (Å, degrees): 8.0411 8.0411 9.9557 118.50 118.50 44.03
Closest atoms and distances in Å follow each position.
Fractional positions:
Pm 0.0000 0.0000 0.0000  2 Th 3.01, 4 Tl 3.09-3.27
Pm 0.2408 0.2408 0.6917  4 Tl 3.05-3.25
Pm 0.3020 0.3020 0.1157  3 Tl 3.40-3.66, 5 Pm 3.44-3.80, 1 Th 3.68
Pm 0.4356 0.4356 0.6038  3 Tl 3.24-3.31, 3 Pm 3.44-3.47, 1 Th 3.55
Pm 0.5644 0.5644 0.3962  3 Tl 3.24-3.31, 3 Pm 3.44-3.47, 1 Th 3.55
Pm 0.6980 0.6980 0.8843  3 Tl 3.40-3.66, 5 Pm 3.44-3.80, 1 Th 3.68
Pm 0.7592 0.7592 0.3083  4 Tl 3.05-3.25
Th 0.5000 0.5000 0.0000  2 Pm 3.01
Tl 0.0419 0.0419 0.7081  4 Pm 3.05-3.31, 1 Tl 3.23
Tl 0.1892 0.1892 0.3383  6 Pm 3.09-3.40, 1 Tl 3.23
Tl 0.8108 0.8108 0.6617  6 Pm 3.09-3.40, 1 Tl 3.23
Tl 0.9581 0.9581 0.2919  4 Pm 3.05-3.31, 1 Tl 3.23

---

4.
# Pm2ThTl

An optimized crystal structure of Pm2ThTl (GGA-PBE, Alexandria via LeMat-Bulk).

- calculated density (Mg/m³) = 9.4
- formation enthalpy at 0 K (eV per atom) = -0.08
- uncorrected energy (eV/cell) = -19.6

Lattice parameters (Å, degrees): 11.3576 11.3576 11.3576 18.44 18.44 18.44
Closest atoms and distances in Å follow each position.
Fractional positions:
Pm 0.0000 0.0000 0.0000  3 Tl 3.38, 3 Th 3.61, 6 Pm 3.64
Pm 0.1747 0.1747 0.1747  3 Tl 3.39, 3 Th 3.60, 6 Pm 3.64
Th 0.7542 0.7542 0.7542  6 Pm 3.60-3.61, 6 Th 3.64
Tl 0.5876 0.5876 0.5876  6 Pm 3.38-3.39, 6 Tl 3.64

---

5.
# Pm2ThTl3

An optimized crystal structure of Pm2ThTl3 (GGA-PBE, Alexandria via LeMat-Bulk).

- calculated density (Mg/m³) = 10.8
- formation enthalpy at 0 K (eV per atom) = -0.30
- uncorrected energy (eV/cell) = -25.8

Lattice parameters (Å, degrees): 3.6101 3.6101 13.3583 90.00 90.00 90.00
Closest atoms and distances in Å follow each position.
Fractional positions:
Pm 0.0000 0.0000 0.1646  8 Tl 3.37-3.38, 4 Pm 3.61
Pm 0.0000 0.0000 0.8354  8 Tl 3.37-3.38, 4 Pm 3.61
Th 0.0000 0.0000 0.5000  8 Tl 3.41, 4 Th 3.61
Tl 0.5000 0.5000 0.0000  8 Pm 3.37, 4 Tl 3.61
Tl 0.5000 0.5000 0.3303  4 Pm 3.38, 4 Th 3.41, 4 Tl 3.61
Tl 0.5000 0.5000 0.6697  4 Pm 3.38, 4 Th 3.41, 4 Tl 3.61

---

6.
# Pm3ThTl2

An optimized crystal structure of Pm3ThTl2 (GGA-PBE, Alexandria via LeMat-Bulk).

- calculated density (Mg/m³) = 9.8
- formation enthalpy at 0 K (eV per atom) = -0.25
- uncorrected energy (eV/cell) = -27.9

Lattice parameters (Å, degrees): 3.6818 3.6818 13.4237 90.00 90.00 90.00
Closest atoms and distances in Å follow each position.
Fractional positions:
Pm 0.0000 0.0000 0.0000  8 Tl 3.39, 4 Pm 3.68
Pm 0.0000 0.0000 0.3207  4 Tl 3.37, 4 Th 3.55, 4 Pm 3.68
Pm 0.0000 0.0000 0.6793  4 Tl 3.37, 4 Th 3.55, 4 Pm 3.68
Th 0.5000 0.5000 0.5000  8 Pm 3.55, 4 Th 3.68
Tl 0.5000 0.5000 0.1613  8 Pm 3.37-3.39, 4 Tl 3.68
Tl 0.5000 0.5000 0.8387  8 Pm 3.37-3.39, 4 Tl 3.68

---

7.
# Pm6ThTl

An optimized crystal structure of Pm6ThTl (GGA-PBE, Alexandria via LeMat-Bulk).

- calculated density (Mg/m³) = 8.4
- formation enthalpy at 0 K (eV per atom) = -0.06
- uncorrected energy (eV/cell) = -38.8

Lattice parameters (Å, degrees): 5.0204 5.0204 10.2033 90.00 90.00 90.00
Closest atoms and distances in Å follow each position.
Fractional positions:
Pm 0.0000 0.0000 0.0000  4 Tl 3.55, 8 Pm 3.57
Pm 0.0000 0.0000 0.5000  4 Th 3.55, 8 Pm 3.59
Pm 0.0000 0.5000 0.2483  8 Pm 3.55-3.59, 2 Tl 3.57, 2 Th 3.59
Pm 0.0000 0.5000 0.7517  8 Pm 3.55-3.59, 2 Tl 3.57, 2 Th 3.59
Pm 0.5000 0.0000 0.2483  8 Pm 3.55-3.59, 2 Tl 3.57, 2 Th 3.59
Pm 0.5000 0.0000 0.7517  8 Pm 3.55-3.59, 2 Tl 3.57, 2 Th 3.59
Th 0.5000 0.5000 0.5000  12 Pm 3.55-3.59
Tl 0.5000 0.5000 0.0000  12 Pm 3.55-3.57

---

8.
# PmTh2Tl3

An optimized crystal structure of PmTh2Tl3 (GGA-PBE, Alexandria via LeMat-Bulk).

- calculated density (Mg/m³) = 11.6
- formation enthalpy at 0 K (eV per atom) = -0.22
- uncorrected energy (eV/cell) = -28.0

Lattice parameters (Å, degrees): 3.5770 3.5770 13.6456 90.00 90.00 90.00
Closest atoms and distances in Å follow each position.
Fractional positions:
Pm 0.0000 0.0000 0.0000  8 Tl 3.37, 4 Pm 3.58
Th 0.0000 0.0000 0.3321  8 Tl 3.41-3.42, 4 Th 3.58
Th 0.0000 0.0000 0.6679  8 Tl 3.41-3.42, 4 Th 3.58
Tl 0.5000 0.5000 0.1636  4 Pm 3.37, 4 Th 3.42, 4 Tl 3.58
Tl 0.5000 0.5000 0.5000  8 Th 3.41, 4 Tl 3.58
Tl 0.5000 0.5000 0.8364  4 Pm 3.37, 4 Th 3.42, 4 Tl 3.58

---

9.
# Pm9ThTl2

An optimized crystal structure of Pm9ThTl2 (GGA-PBE, Alexandria via LeMat-Bulk).

- calculated density (Mg/m³) = 8.5
- formation enthalpy at 0 K (eV per atom) = -0.11
- uncorrected energy (eV/cell) = -56.2

Lattice parameters (Å, degrees): 4.9979 4.9979 15.1537 90.00 90.00 90.00
Closest atoms and distances in Å follow each position.
Fractional positions:
Pm 0.0000 0.0000 0.0000  4 Th 3.53, 8 Pm 3.58
Pm 0.0000 0.0000 0.3383  8 Pm 3.50-3.58, 4 Tl 3.53
Pm 0.0000 0.0000 0.6617  8 Pm 3.50-3.58, 4 Tl 3.53
Pm 0.0000 0.5000 0.1691  8 Pm 3.53-3.58, 2 Tl 3.57, 2 Th 3.58
Pm 0.0000 0.5000 0.5000  8 Pm 3.50-3.53, 4 Tl 3.51
Pm 0.0000 0.5000 0.8309  8 Pm 3.53-3.58, 2 Tl 3.57, 2 Th 3.58
Pm 0.5000 0.0000 0.1691  8 Pm 3.53-3.58, 2 Tl 3.57, 2 Th 3.58
Pm 0.5000 0.0000 0.5000  8 Pm 3.50-3.53, 4 Tl 3.51
Pm 0.5000 0.0000 0.8309  8 Pm 3.53-3.58, 2 Tl 3.57, 2 Th 3.58
Th 0.5000 0.5000 0.0000  12 Pm 3.53-3.58
Tl 0.5000 0.5000 0.3372  12 Pm 3.51-3.57
Tl 0.5000 0.5000 0.6628  12 Pm 3.51-3.57

---

10.
# Pm2Th2Tl3

An optimized crystal structure of Pm2Th2Tl3 (GGA-PBE, Alexandria via LeMat-Bulk).

- calculated density (Mg/m³) = 10.8
- formation enthalpy at 0 K (eV per atom) = -0.15
- uncorrected energy (eV/cell) = -32.5

Lattice parameters (Å, degrees): 16.7013 16.7013 3.5333 90.00 90.00 167.72
Closest atoms and distances in Å follow each position.
Fractional positions:
Pm 0.0679 0.9321 0.0000  8 Tl 3.38-3.39, 4 Pm 3.53-3.57
Pm 0.9321 0.0679 0.0000  8 Tl 3.38-3.39, 4 Pm 3.53-3.57
Th 0.2061 0.7939 0.0000  4 Tl 3.42, 6 Th 3.42-3.57
Th 0.7939 0.2061 0.0000  4 Tl 3.42, 6 Th 3.42-3.57
Tl 0.3637 0.6363 0.5000  4 Pm 3.39, 4 Th 3.42, 4 Tl 3.53-3.57
Tl 0.5000 0.5000 0.5000  8 Pm 3.38, 4 Tl 3.53-3.57
Tl 0.6363 0.3637 0.5000  4 Pm 3.39, 4 Th 3.42, 4 Tl 3.53-3.57

---

Q: calculated density of number 9 (Pm9ThTl2)?
A: 8.5 Mg/m³

---

Q: calculated density of number 4 (Pm2ThTl)?
A: 9.4 Mg/m³

---

Q: Among the records above, which one has the highest formation enthalpy at 0 K?
A: Pm7ThTl4